A plane-wave DFT calculation with SCAN was carried out for a PBEsol-optimized structure of TaTl2Te.

abc: 3.2041 3.2041 10.4774
angles: 90.00 90.00 111.71
Positions (direct):
1 Ta 0.0000 0.0000 0.0000
2 Tl 0.0000 0.0000 0.5149
3 Tl 0.5000 0.5000 0.7740
4 Te 0.5000 0.5000 0.1961

Computed properties:
Raw formation energy: 0.255 eV per atom
Energy above the most stable polymorph in this dataset: 0 meV/atom

A plane-wave DFT calculation with SCAN was carried out for a PBEsol-optimized structure of TaTlTe2.

abc: 8.7979 8.7979 8.7979
angles: 156.81 156.16 33.50
Positions (direct):
1 Ta 0.0000 0.0000 0.0000
2 Tl 0.7572 0.2572 0.5000
3 Te 0.1220 0.6220 0.5000
4 Te 0.4234 0.4234 0.0000

Computed properties:
Raw formation energy: -0.015 eV per atom

A plane-wave DFT calculation with SCAN was carried out for a PBEsol-optimized structure of TaTe2W.

abc: 6.5914 6.5914 6.5914
angles: 150.63 141.40 49.24
Positions (direct):
1 Ta 0.0000 0.0000 0.0000
2 Te 0.3856 0.3856 0.0000
3 Te 0.6557 0.1557 0.5000
4 W 0.1726 0.6726 0.5000

Computed properties:
Raw formation energy: 0.497 eV per atom

A plane-wave DFT calculation with SCAN was carried out for a PBEsol-optimized structure of Ta2TeW.

abc: 5.1080 5.1080 5.1080
angles: 132.66 132.66 69.19
Positions (direct):
1 Ta 0.2500 0.7500 0.5000
2 Ta 0.7500 0.2500 0.5000
3 Te 0.0000 0.0000 0.0000
4 W 0.5000 0.5000 0.0000

Computed properties:
Raw formation energy: 0.411 eV per atom

A plane-wave DFT calculation with SCAN was carried out for a PBEsol-optimized structure of Ta2TeW.

abc: 4.1212 4.1212 4.1761
angles: 90.00 90.00 90.00
Positions (direct):
1 Ta 0.0000 0.5000 0.0000
2 Ta 0.5000 0.0000 0.0000
3 Te 0.0000 0.0000 0.5000
4 W 0.5000 0.5000 0.5000

Computed properties:
Raw formation energy: 0.471 eV per atom

A plane-wave DFT calculation with SCAN was carried out for a PBEsol-optimized structure of TaTeW3.

abc: 4.8009 4.8009 4.8009
angles: 90.00 90.00 90.00
Positions (direct):
1 Ta 0.0000 0.0000 0.0000
2 Te 0.5000 0.5000 0.5000
3 W 0.0000 0.0000 0.5000
4 W 0.0000 0.5000 0.0000
5 W 0.5000 0.0000 0.0000

Computed properties:
Raw formation energy: 2.391 eV per atom

A plane-wave DFT calculation with SCAN was carried out for a PBEsol-optimized structure of Ta2TeW.

abc: 3.3642 3.3777 6.4370
angles: 90.00 94.47 90.00
Positions (direct):
1 Ta 0.0186 0.0000 0.2273
2 Ta 0.9814 0.0000 0.7727
3 Te 0.5000 0.5000 0.5000
4 W 0.5000 0.5000 0.0000

Computed properties:
Raw formation energy: 0.216 eV per atom

A plane-wave DFT calculation with SCAN was carried out for a PBEsol-optimized structure of YTaTe2.

abc: 3.7747 3.7747 6.7596
angles: 90.00 90.00 90.00
Positions (direct):
1 Y 0.0000 0.0000 0.0000
2 Ta 0.5000 0.5000 0.2784
3 Te 0.0000 0.0000 0.4517
4 Te 0.5000 0.5000 0.8203

Computed properties:
Raw formation energy: -0.515 eV per atom
Energy above the most stable polymorph in this dataset: 0 meV/atom

A plane-wave DFT calculation with SCAN was carried out for a PBEsol-optimized structure of YTa2Te.

abc: 5.5606 5.5606 5.5606
angles: 141.22 127.88 66.82
Positions (direct):
1 Y 0.0000 0.0000 0.0000
2 Ta 0.2580 0.7580 0.5000
3 Ta 0.4764 0.4764 0.0000
4 Te 0.7304 0.2304 0.5000

Computed properties:
Raw formation energy: 0.106 eV per atom

A plane-wave DFT calculation with SCAN was carried out for a PBEsol-optimized structure of YTaTe2.

abc: 5.0771 5.0771 5.0771
angles: 60.00 60.00 60.00
Positions (direct):
1 Y 0.0000 0.0000 0.0000
2 Ta 0.7500 0.7500 0.7500
3 Te 0.2500 0.2500 0.2500
4 Te 0.5000 0.5000 0.5000

Computed properties:
Raw formation energy: 0.351 eV per atom
Energy above the most stable polymorph in this dataset: 866 meV/atom

A plane-wave DFT calculation with SCAN was carried out for a PBEsol-optimized structure of YTaTe2.

abc: 6.1618 6.1618 6.1618
angles: 140.52 140.52 57.06
Positions (direct):
1 Y 0.0000 0.0000 0.0000
2 Ta 0.7500 0.2500 0.5000
3 Te 0.2500 0.7500 0.5000
4 Te 0.5000 0.5000 0.0000

Computed properties:
Raw formation energy: -0.038 eV per atom
Energy above the most stable polymorph in this dataset: 477 meV/atom

A plane-wave DFT calculation with SCAN was carried out for a PBEsol-optimized structure of YTa2Te.

abc: 5.1781 5.1781 5.1781
angles: 128.78 128.78 75.36
Positions (direct):
1 Y 0.0000 0.0000 0.0000
2 Ta 0.5000 0.5000 0.0000
3 Ta 0.7500 0.2500 0.5000
4 Te 0.2500 0.7500 0.5000

Computed properties:
Raw formation energy: 0.209 eV per atom